Below is an optimized crystal structure of AlH10N2OF5, with properties calculated at the PBE level.

Values from the calculation:
Calculated total energy ... -5.13 eV per atom
Theoretical density ... 1.770 g/cm3

a = 10.6284 Å, b = 8.1636 Å, c = 7.6146 Å
α = 90.00°, β = 90.00°, γ = 90.00°
Closest atoms and distances in Å follow each position.
Space group Pbcn (No. 60)
One atom of each set of equivalent atoms:
Al 0.0000 0.1949 0.2500  5 F 1.81-1.86, 1 O 1.92
H 0.0205 0.1078 0.6437  1 O 1.00
H 0.1179 0.4924 0.3888  1 N 1.04
H 0.1770 0.3669 0.0346  1 N 1.04
H 0.2431 0.0895 0.3509  1 N 1.04
H 0.2470 0.4488 0.5137  1 N 1.04
N 0.1990 0.4602 0.9468  4 H 1.04
O 0.0000 0.0399 0.7500  2 H 1.00
F 0.0000 0.4196 0.2500  2 H 1.74, 1 Al 1.83
F 0.0570 0.1979 0.4741  1 H 1.54
F 0.1650 0.1914 0.1688  3 H 1.76-1.89, 1 Al 1.86